No. 1
Here is a relaxed structure of ScTaTl2 from the Alexandria database. Energies are from GGA-PBEsol.

a = 3.087 Å, b = 5.276 Å, c = 5.276 Å
α = 108.51°, β = 90.00°, γ = 90.00°
Fractional coordinates of all 4 atoms:
Sc1 0.500 0.000 0.000
Tl1 0.000 0.500 0.000
Tl2 0.000 0.000 0.500
Ta1 0.500 0.500 0.500

Values from the calculation:
* raw total energy: -23.8 eV per cell
* symmetry: Cmmm (65)
* DOS at the Fermi energy: 0.5888 states/eV per atom
* DFT formation energy: 0.14 eV/atom

***

No. 2
Here is a relaxed structure of ScTaTl2 from the Alexandria database. Energies are from GGA-PBEsol.

a = 3.072 Å, b = 3.072 Å, c = 8.688 Å
α = 90.00°, β = 90.00°, γ = 90.00°
Fractional coordinates of all 4 atoms:
Ta1 0.500 0.500 0.500
Tl1 0.000 0.000 0.747
Sc1 0.500 0.500 0.000
Tl2 0.000 0.000 0.253

Values from the calculation:
* raw total energy: -24.0 eV per cell
* symmetry: P4/mmm (123)
* DOS at the Fermi energy: 0.3687 states/eV per atom
* DFT formation energy: 0.11 eV/atom

***

No. 3
Here is a relaxed structure of ScTaTl3 from the Alexandria database. Energies are from GGA-PBEsol.

a = 5.301 Å, b = 5.301 Å, c = 5.301 Å
α = 90.00°, β = 90.00°, γ = 90.00°
Fractional coordinates of all 5 atoms:
Tl1 0.000 0.500 0.000
Ta1 0.500 0.500 0.500
Tl2 0.500 0.000 0.000
Sc1 0.000 0.000 0.000
Tl3 0.000 0.000 0.500

Values from the calculation:
* raw total energy: -19.8 eV per cell
* symmetry: Pm-3m (221)
* DOS at the Fermi energy: 1.8954 states/eV per atom
* DFT formation energy: 1.45 eV/atom

***

No. 4
Here is a relaxed structure of ScTaW4 from the Alexandria database. Energies are from GGA-PBEsol.

a = 5.287 Å, b = 5.287 Å, c = 5.287 Å
α = 60.00°, β = 60.00°, γ = 60.00°
Fractional coordinates of all 6 atoms:
Sc1 0.750 0.750 0.750
W1 0.375 0.875 0.375
Ta1 0.000 0.000 0.000
W2 0.375 0.375 0.875
W3 0.375 0.375 0.375
W4 0.875 0.375 0.375

Values from the calculation:
* raw total energy: -74.4 eV per cell
* symmetry: F-43m (216)
* DOS at the Fermi energy: 0.3873 states/eV per atom
* DFT formation energy: 0.01 eV/atom

***

No. 5
Here is a relaxed structure of Sc2TaW from the Alexandria database. Energies are from GGA-PBEsol.

a = 4.698 Å, b = 4.698 Å, c = 4.698 Å
α = 60.00°, β = 60.00°, γ = 60.00°
Fractional coordinates of all 4 atoms:
Sc1 0.250 0.250 0.250
Ta1 0.000 0.000 0.000
W1 0.500 0.500 0.500
Sc2 0.750 0.750 0.750

Values from the calculation:
* raw total energy: -37.4 eV per cell
* symmetry: Fm-3m (225)
* DOS at the Fermi energy: 1.7932 states/eV per atom
* DFT formation energy: 0.54 eV/atom

***

No. 6
Here is a relaxed structure of Sc4TaW from the Alexandria database. Energies are from GGA-PBEsol.

a = 5.460 Å, b = 5.460 Å, c = 5.460 Å
α = 60.00°, β = 60.00°, γ = 60.00°
Fractional coordinates of all 6 atoms:
Sc1 0.625 0.124 0.625
Ta1 0.250 0.250 0.250
Sc2 0.625 0.625 0.124
W1 0.000 0.000 0.000
Sc3 0.625 0.625 0.625
Sc4 0.124 0.625 0.625

Values from the calculation:
* raw total energy: -48.3 eV per cell
* symmetry: F-43m (216)
* DOS at the Fermi energy: 1.6334 states/eV per atom
* DFT formation energy: 0.74 eV/atom

***

No. 7
Here is a relaxed structure of Sc2TaW from the Alexandria database. Energies are from GGA-PBEsol.

a = 2.954 Å, b = 2.954 Å, c = 10.007 Å
α = 81.51°, β = 81.51°, γ = 60.00°
Fractional coordinates of all 4 atoms:
Sc1 0.748 0.748 0.755
Ta1 0.500 0.500 0.500
Sc2 0.252 0.252 0.245
W1 0.000 0.000 0.000

Values from the calculation:
* raw total energy: -38.2 eV per cell
* symmetry: R-3m (166)
* DOS at the Fermi energy: 1.1314 states/eV per atom
* DFT formation energy: 0.35 eV/atom

***

No. 8
Here is a relaxed structure of ScTaW2 from the Alexandria database. Energies are from GGA-PBEsol.

a = 2.695 Å, b = 4.634 Å, c = 5.513 Å
α = 90.00°, β = 90.00°, γ = 90.00°
Fractional coordinates of all 4 atoms:
Sc1 0.500 0.500 0.000
W1 0.000 0.000 0.250
W2 0.000 0.000 0.750
Ta1 0.500 0.500 0.500

Values from the calculation:
* raw total energy: -45.4 eV per cell
* symmetry: Pmmm (47)
* DOS at the Fermi energy: 0.8892 states/eV per atom
* DFT formation energy: 0.35 eV/atom

***

No. 9
Here is a relaxed structure of ScTaW2 from the Alexandria database. Energies are from GGA-PBEsol.

a = 2.706 Å, b = 4.873 Å, c = 5.422 Å
α = 90.13°, β = 90.00°, γ = 106.12°
Fractional coordinates of all 4 atoms:
W1 0.251 0.502 0.251
W2 0.749 0.498 0.749
Ta1 0.500 0.000 0.000
Sc1 0.000 0.000 0.500

Values from the calculation:
* raw total energy: -45.4 eV per cell
* symmetry: C2/m (12)
* DOS at the Fermi energy: 1.0034 states/eV per atom
* DFT formation energy: 0.34 eV/atom

***

No. 10
Here is a relaxed structure of Y2ScTa from the Alexandria database. Energies are from GGA-PBEsol.

a = 3.162 Å, b = 5.495 Å, c = 5.860 Å
α = 97.60°, β = 90.00°, γ = 106.72°
Fractional coordinates of all 4 atoms:
Y1 0.247 0.493 0.734
Y2 0.011 0.022 0.023
Ta1 0.753 0.505 0.267
Sc1 0.490 0.979 0.476

Values from the calculation:
* raw total energy: -31.7 eV per cell
* symmetry: Cm (8)
* DOS at the Fermi energy: 1.3364 states/eV per atom
* DFT formation energy: 0.29 eV/atom

***

No. 11
Here is a relaxed structure of Y2ScTa from the Alexandria database. Energies are from GGA-PBEsol.

a = 4.587 Å, b = 4.623 Å, c = 5.580 Å
α = 114.47°, β = 114.26°, γ = 90.00°
Fractional coordinates of all 4 atoms:
Y1 0.751 0.251 0.502
Y2 0.000 0.000 0.999
Sc1 0.502 0.502 0.004
Ta1 0.248 0.748 0.495

Values from the calculation:
* raw total energy: -31.6 eV per cell
* symmetry: Imm2 (44)
* DOS at the Fermi energy: 1.1816 states/eV per atom
* DFT formation energy: 0.31 eV/atom

***

No. 12
Here is a relaxed structure of YScTa2 from the Alexandria database. Energies are from GGA-PBEsol.

a = 3.056 Å, b = 3.056 Å, c = 10.396 Å
α = 81.55°, β = 81.55°, γ = 60.00°
Fractional coordinates of all 4 atoms:
Sc1 0.000 0.000 0.000
Y1 0.500 0.500 0.500
Ta1 0.253 0.253 0.241
Ta2 0.747 0.747 0.759

Values from the calculation:
* raw total energy: -37.0 eV per cell
* symmetry: R-3m (166)
* DOS at the Fermi energy: 1.1485 states/eV per atom
* DFT formation energy: 0.38 eV/atom

***

No. 13
Here is a relaxed structure of YScTa from the Alexandria database. Energies are from GGA-PBEsol.

a = 4.830 Å, b = 4.830 Å, c = 4.830 Å
α = 60.00°, β = 60.00°, γ = 60.00°
Fractional coordinates of all 3 atoms:
Y1 0.000 0.000 0.000
Ta1 0.750 0.750 0.750
Sc1 0.500 0.500 0.500

Values from the calculation:
* raw total energy: -22.9 eV per cell
* symmetry: F-43m (216)
* DOS at the Fermi energy: 1.2968 states/eV per atom
* DFT formation energy: 1.01 eV/atom

***

No. 14
Here is a relaxed structure of Y3ScTa from the Alexandria database. Energies are from GGA-PBEsol.

a = 5.382 Å, b = 5.382 Å, c = 5.382 Å
α = 90.00°, β = 90.00°, γ = 90.00°
Fractional coordinates of all 5 atoms:
Y1 0.000 0.000 0.500
Y2 0.500 0.000 0.000
Ta1 0.000 0.000 0.000
Sc1 0.500 0.500 0.500
Y3 0.000 0.500 0.000

Values from the calculation:
* raw total energy: -36.1 eV per cell
* symmetry: Pm-3m (221)
* DOS at the Fermi energy: 1.1519 states/eV per atom
* DFT formation energy: 0.71 eV/atom

***

No. 15
Here is a relaxed structure of Y2ScTa from the Alexandria database. Energies are from GGA-PBEsol.

a = 3.219 Å, b = 3.219 Å, c = 10.995 Å
α = 81.58°, β = 81.58°, γ = 60.00°
Fractional coordinates of all 4 atoms:
Y1 0.753 0.753 0.742
Sc1 0.509 0.509 0.474
Y2 0.991 0.991 0.026
Ta1 0.247 0.247 0.258

Values from the calculation:
* raw total energy: -31.7 eV per cell
* symmetry: R3m (160)
* DOS at the Fermi energy: 1.3339 states/eV per atom
* DFT formation energy: 0.28 eV/atom

***

No. 16
Here is a relaxed structure of ZrScTa2 from the Alexandria database. Energies are from GGA-PBEsol.

a = 2.893 Å, b = 2.893 Å, c = 9.755 Å
α = 90.00°, β = 90.00°, γ = 108.27°
Fractional coordinates of all 4 atoms:
Ta1 0.000 0.000 0.253
Sc1 0.500 0.500 0.000
Zr1 0.500 0.500 0.500
Ta2 0.000 0.000 0.747

Values from the calculation:
* raw total energy: -40.0 eV per cell
* symmetry: Cmmm (65)
* DOS at the Fermi energy: 1.4207 states/eV per atom
* DFT formation energy: 0.19 eV/atom

***

No. 17
Here is a relaxed structure of ZrScTa2 from the Alexandria database. Energies are from GGA-PBEsol.

a = 2.857 Å, b = 2.857 Å, c = 9.577 Å
α = 90.00°, β = 90.00°, γ = 90.00°
Fractional coordinates of all 4 atoms:
Ta1 0.000 0.000 0.749
Ta2 0.000 0.000 0.251
Sc1 0.500 0.500 0.500
Zr1 0.500 0.500 0.000

Values from the calculation:
* raw total energy: -39.9 eV per cell
* symmetry: P4/mmm (123)
* DOS at the Fermi energy: 1.4196 states/eV per atom
* DFT formation energy: 0.22 eV/atom

***

No. 18
Here is a relaxed structure of ZrScTa2 from the Alexandria database. Energies are from GGA-PBEsol.

a = 4.791 Å, b = 4.791 Å, c = 4.791 Å
α = 60.00°, β = 60.00°, γ = 60.00°
Fractional coordinates of all 4 atoms:
Zr1 0.500 0.500 0.500
Ta1 0.750 0.750 0.750
Sc1 0.000 0.000 0.000
Ta2 0.250 0.250 0.250

Values from the calculation:
* raw total energy: -39.5 eV per cell
* symmetry: Fm-3m (225)
* DOS at the Fermi energy: 1.9230 states/eV per atom
* DFT formation energy: 0.32 eV/atom

***

No. 19
Here is a relaxed structure of ZrScTa2 from the Alexandria database. Energies are from GGA-PBEsol.

a = 2.957 Å, b = 4.660 Å, c = 5.890 Å
α = 90.00°, β = 103.16°, γ = 90.00°
Fractional coordinates of all 4 atoms:
Zr1 0.964 0.000 0.476
Ta1 0.410 0.500 0.245
Ta2 0.081 0.000 0.007
Sc1 0.545 0.500 0.772

Values from the calculation:
* raw total energy: -40.2 eV per cell
* symmetry: Pm (6)
* DOS at the Fermi energy: 1.0646 states/eV per atom
* DFT formation energy: 0.15 eV/atom

***

No. 20
Here is a relaxed structure of ZrScTa2 from the Alexandria database. Energies are from GGA-PBEsol.

a = 4.782 Å, b = 4.782 Å, c = 4.782 Å
α = 60.00°, β = 60.00°, γ = 60.00°
Fractional coordinates of all 4 atoms:
Ta1 0.750 0.750 0.750
Ta2 0.000 0.000 0.000
Zr1 0.500 0.500 0.500
Sc1 0.250 0.250 0.250

Values from the calculation:
* raw total energy: -40.1 eV per cell
* symmetry: F-43m (216)
* DOS at the Fermi energy: 1.7238 states/eV per atom
* DFT formation energy: 0.18 eV/atom